(1)
DFT (PBE) results for an optimized crystal structure of Ta2TcHRu.

a b c (Å): 4.3885 4.3885 3.4877
angles (deg): 90.00 90.00 90.00
With the nearest neighbours (Å) after each atom.
Space group P4/mmm (No. 123)
Unique sites:
Ta1 0.0000 0.5000 0.0000 (multiplicity 2)  2 H 2.19
Tc1 0.0000 0.0000 0.5000 (multiplicity 1)  8 Ta 2.80, 4 Ru 3.10
H1 0.5000 0.5000 0.0000 (multiplicity 1)  2 Ru 1.74
Ru1 0.5000 0.5000 0.5000 (multiplicity 1)  2 H 1.74

Calculated values
Uncorrected energy = -47.73 eV per cell
Energy above the lowest structure with this stoichiometry = 0.00 kcal/mol of atoms


(2)
DFT (PBE) results for an optimized crystal structure of Ta2TcHRu.

a b c (Å): 4.3518 4.3518 3.5481
angles (deg): 90.00 90.00 90.00
With the nearest neighbours (Å) after each atom.
Space group P4/mmm (No. 123)
Unique sites:
Ta1 0.0000 0.5000 0.0000 (multiplicity 2)  2 H 2.18
Tc1 0.0000 0.0000 0.5000 (multiplicity 1)  2 H 1.77
H1 0.0000 0.0000 0.0000 (multiplicity 1)  2 Tc 1.77
Ru1 0.5000 0.5000 0.5000 (multiplicity 1)  8 Ta 2.81, 4 Tc 3.08

Calculated values
Uncorrected energy = -47.57 eV per cell
Energy above the lowest structure with this stoichiometry = 0.73 kcal/mol of atoms


(3)
DFT (PBE) results for an optimized crystal structure of TaTc2HRu.

a b c (Å): 3.9737 3.9737 3.9855
angles (deg): 90.00 90.00 90.00
With the nearest neighbours (Å) after each atom.
Space group P4/mmm (No. 123)
Unique sites:
Ta1 0.0000 0.0000 0.0000 (multiplicity 1)  4 Ru 2.81, 8 Tc 2.81
Tc1 0.0000 0.5000 0.5000 (multiplicity 2)  2 H 1.99
H1 0.5000 0.5000 0.5000 (multiplicity 1)  4 Tc 1.99, 2 Ru 1.99
Ru1 0.5000 0.5000 0.0000 (multiplicity 1)  2 H 1.99

Calculated values
Uncorrected energy = -45.66 eV per cell
Energy above the lowest structure with this stoichiometry = 0.00 kcal/mol of atoms